Version 1
Computed, not measured: crystalline ZrNbNi at its relaxed geometry at the GGA-PBE level of DFT.

The value obtained for the spin magnetization is 0.00 μB/cell. As for the volume: 17.55 Å³/atom.

Cell lengths 3.229, 4.334, 7.545 Å; angles 90.00, 94.12, 90.00 degrees
Space group P2_1/m (No. 11)
Symmetry-distinct sites (fractional):
Zr 0.212 0.250 0.146 [2 per cell]
Nb 0.248 0.750 0.494 [2 per cell]
Ni 0.287 0.250 0.783 [2 per cell]

Version 2
Computed, not measured: crystalline ZrNbNi at its relaxed geometry at the GGA-PBE level of DFT.

The value obtained for the spin magnetization is 0.00 μB/cell. As for the volume: 17.26 Å³/atom.

Cell lengths 3.048, 4.449, 7.643 Å; angles 90.00, 92.29, 90.00 degrees
Space group P2_1/m (No. 11)
Symmetry-distinct sites (fractional):
Zr 0.009 0.250 0.304 [2 per cell]
Nb 0.339 0.250 0.927 [2 per cell]
Ni 0.473 0.750 0.403 [2 per cell]

Version 3
Computed, not measured: crystalline ZrNbNi at its relaxed geometry at the GGA-PBE level of DFT.

The value obtained for the spin magnetization is 0.00 μB/cell. As for the volume: 17.39 Å³/atom.

Cell lengths 3.067, 4.378, 7.776 Å; angles 90.00, 92.18, 90.00 degrees
Space group Pm (No. 6)
Symmetry-distinct sites (fractional):
Zr 0.000 0.000 0.000 [1 per cell]
Zr 0.447 0.500 0.744 [1 per cell]
Nb 0.365 0.000 0.373 [1 per cell]
Nb 0.572 0.500 0.157 [1 per cell]
Ni 0.917 0.000 0.650 [1 per cell]
Ni 0.935 0.500 0.463 [1 per cell]

The structure with the greatest stability is version 1.

Version 1
Computed, not measured: crystalline ZrNbNi at its relaxed geometry at the GGA-PBE level of DFT.

The value obtained for the spin magnetization is 0.00 μB/cell. As for the volume: 17.55 Å³/atom.

Cell lengths 3.479, 3.577, 8.635 Å; angles 90.00, 101.48, 90.00 degrees
Space group P2_1/m (No. 11)
Symmetry-distinct sites (fractional):
Zr 0.100 0.250 0.199 [2 per cell]
Nb 0.288 0.250 0.575 [2 per cell]
Ni 0.453 0.250 0.907 [2 per cell]

Version 2
Computed, not measured: crystalline ZrNbNi at its relaxed geometry at the GGA-PBE level of DFT.

The value obtained for the spin magnetization is 0.00 μB/cell. As for the volume: 18.25 Å³/atom.

Cell lengths 3.946, 3.946, 7.035 Å; angles 90.00, 90.00, 90.00 degrees
Space group P4/nmm (No. 129, origin choice 2)
Symmetry-distinct sites (fractional):
Zr 0.250 0.250 0.153 [2 per cell]
Nb 0.250 0.250 0.718 [2 per cell]
Ni 0.250 0.750 0.500 [2 per cell]

The structure with the greatest stability is version 1.

Version 1
Computed, not measured: crystalline ZrNbNi at its relaxed geometry at the GGA-PBE level of DFT.

The value obtained for the spin magnetization is 0.00 μB/cell. As for the volume: 17.16 Å³/atom.

Cell lengths 2.860, 13.927, 5.278 Å; angles 90.00, 101.55, 90.00 degrees
Space group C2/c (No. 15)
Symmetry-distinct sites (fractional):
Zr 0.000 0.067 0.250 [4 per cell]
Nb 0.250 0.250 0.000 [4 per cell]
Ni 0.000 0.397 0.250 [4 per cell]

Version 2
Computed, not measured: crystalline ZrNbNi at its relaxed geometry at the GGA-PBE level of DFT.

The value obtained for the spin magnetization is 0.00 μB/cell. As for the volume: 17.51 Å³/atom.

Cell lengths 3.199, 4.357, 15.076 Å; angles 90.00, 90.00, 90.00 degrees
Space group Immm (No. 71)
Symmetry-distinct sites (fractional):
Zr 0.000 0.000 0.178 [4 per cell]
Nb 0.000 0.500 0.000 [2 per cell]
Nb 0.000 0.500 0.500 [2 per cell]
Ni 0.000 0.000 0.358 [4 per cell]

The structure with the greatest stability is version 2.

Version 1
Computed, not measured: crystalline ZrNbNi at its relaxed geometry at the GGA-PBE level of DFT.

The value obtained for the spin magnetization is 0.00 μB/cell. As for the volume: 17.45 Å³/atom.

Cell lengths 3.080, 3.080, 11.035 Å; angles 90.00, 90.00, 90.00 degrees
Space group I4mm (No. 107)
Symmetry-distinct sites (fractional):
Zr 0.000 0.000 0.000 [2 per cell]
Nb 0.000 0.000 0.697 [2 per cell]
Ni 0.000 0.000 0.328 [2 per cell]

Version 2
Computed, not measured: crystalline ZrNbNi at its relaxed geometry at the GGA-PBE level of DFT.

The value obtained for the spin magnetization is 0.00 μB/cell. As for the volume: 17.23 Å³/atom.

Cell lengths 3.311, 3.311, 9.427 Å; angles 90.00, 90.00, 90.00 degrees
Space group P4mm (No. 99)
Symmetry-distinct sites (fractional):
Zr 0.000 0.000 0.000 [1 per cell]
Zr 0.000 0.000 0.333 [1 per cell]
Nb 0.000 0.000 0.652 [1 per cell]
Nb 0.500 0.500 0.815 [1 per cell]
Ni 0.500 0.500 0.174 [1 per cell]
Ni 0.500 0.500 0.490 [1 per cell]

Version 3
Computed, not measured: crystalline ZrNbNi at its relaxed geometry at the GGA-PBE level of DFT.

The value obtained for the spin magnetization is 0.00 μB/cell. As for the volume: 17.57 Å³/atom.

Cell lengths 3.255, 5.219, 6.753 Å; angles 80.10, 76.08, 72.20 degrees
Space group P-1 (No. 2)
Symmetry-distinct sites (fractional):
Zr 0.068 0.199 0.162 [2 per cell]
Nb 0.339 0.263 0.556 [2 per cell]
Ni 0.355 0.632 0.158 [2 per cell]

Version 4
Computed, not measured: crystalline ZrNbNi at its relaxed geometry at the GGA-PBE level of DFT.

The value obtained for the spin magnetization is 0.00 μB/cell. As for the volume: 17.20 Å³/atom.

Cell lengths 5.369, 13.683, 2.887 Å; angles 90.00, 103.36, 90.00 degrees
Space group C2/m (No. 12)
Symmetry-distinct sites (fractional):
Zr 0.000 0.186 0.000 [4 per cell]
Nb 0.243 0.000 0.755 [4 per cell]
Ni 0.000 0.356 0.500 [4 per cell]

The structure with the greatest stability is version 3.

Version 1
Computed, not measured: crystalline ZrNb2Ni at its relaxed geometry at the GGA-PBE level of DFT.

The value obtained for the spin magnetization is 0.00 μB/cell. As for the volume: 17.21 Å³/atom.

Cell lengths 6.505, 6.505, 6.505 Å; angles 90.00, 90.00, 90.00 degrees
Space group Fm-3m (No. 225)
Symmetry-distinct sites (fractional):
Zr 0.000 0.000 0.000 [4 per cell]
Nb 0.250 0.250 0.250 [8 per cell]
Ni 0.000 0.000 0.500 [4 per cell]

Version 2
Computed, not measured: crystalline ZrNb2Ni at its relaxed geometry at the GGA-PBE level of DFT.

The value obtained for the spin magnetization is 0.00 μB/cell. As for the volume: 18.53 Å³/atom.

Cell lengths 3.796, 3.796, 20.575 Å; angles 90.00, 90.00, 90.00 degrees
Space group I-42d (No. 122)
Symmetry-distinct sites (fractional):
Zr 0.000 0.000 0.000 [4 per cell]
Nb 0.247 0.250 0.625 [8 per cell]
Ni 0.000 0.000 0.500 [4 per cell]

The structure with the greatest stability is version 1.

Version 1
Computed, not measured: crystalline ZrNb3Ni at its relaxed geometry at the GGA-PBE level of DFT.

The value obtained for the spin magnetization is 0.00 μB/cell. As for the volume: 20.42 Å³/atom.

Cell lengths 4.674, 4.674, 4.674 Å; angles 90.00, 90.00, 90.00 degrees
Space group Pm-3m (No. 221)
Symmetry-distinct sites (fractional):
Zr 0.000 0.000 0.000 [1 per cell]
Nb 0.000 0.500 0.500 [3 per cell]
Ni 0.500 0.500 0.500 [1 per cell]

Version 2
Computed, not measured: crystalline ZrNb3Ni at its relaxed geometry at the GGA-PBE level of DFT.

The value obtained for the spin magnetization is 0.00 μB/cell. As for the volume: 22.81 Å³/atom.

Cell lengths 4.849, 4.849, 4.849 Å; angles 90.00, 90.00, 90.00 degrees
Space group Pm-3m (No. 221)
Symmetry-distinct sites (fractional):
Zr 0.000 0.000 0.000 [1 per cell]
Nb 0.000 0.000 0.500 [3 per cell]
Ni 0.500 0.500 0.500 [1 per cell]

The structure with the greatest stability is version 1.

Version 1
Computed, not measured: crystalline NpNb3 at its relaxed geometry at the GGA-PBE level of DFT.

The value obtained for the spin magnetization is 3.09 μB/cell. As for the volume: 19.38 Å³/atom.

Cell lengths 2.728, 5.028, 5.652 Å; angles 90.00, 90.00, 90.00 degrees
Space group Pmm2 (No. 25)
Symmetry-distinct sites (fractional):
Np 0.000 0.000 0.000 [1 per cell]
Nb 0.000 0.500 0.257 [1 per cell]
Nb 0.500 0.000 0.487 [1 per cell]
Nb 0.500 0.500 0.757 [1 per cell]

Version 2
Computed, not measured: crystalline NpNb3 at its relaxed geometry at the GGA-PBE level of DFT.

The value obtained for the spin magnetization is 9.81 μB/cell. As for the volume: 19.13 Å³/atom.

Cell lengths 6.739, 6.739, 6.739 Å; angles 90.00, 90.00, 90.00 degrees
Space group Fm-3m (No. 225)
Symmetry-distinct sites (fractional):
Np 0.000 0.000 0.000 [4 per cell]
Nb 0.000 0.000 0.500 [4 per cell]
Nb 0.250 0.250 0.250 [8 per cell]

The structure with the greatest stability is version 2.

Version 1
Computed, not measured: crystalline NpNbOs2 at its relaxed geometry at the GGA-PBE level of DFT.

The value obtained for the spin magnetization is 2.59 μB/cell. As for the volume: 17.56 Å³/atom.

Cell lengths 3.105, 3.105, 7.288 Å; angles 90.00, 90.00, 90.00 degrees
Space group P4/mmm (No. 123)
Symmetry-distinct sites (fractional):
Np 0.000 0.000 0.000 [1 per cell]
Nb 0.000 0.000 0.500 [1 per cell]
Os 0.500 0.500 0.277 [2 per cell]

Version 2
Computed, not measured: crystalline NpNbOs2 at its relaxed geometry at the GGA-PBE level of DFT.

The value obtained for the spin magnetization is 2.07 μB/cell. As for the volume: 17.48 Å³/atom.

Cell lengths 4.422, 4.422, 3.575 Å; angles 90.00, 90.00, 90.00 degrees
Space group P4/mmm (No. 123)
Symmetry-distinct sites (fractional):
Np 0.000 0.000 0.000 [1 per cell]
Nb 0.500 0.500 0.000 [1 per cell]
Os 0.000 0.500 0.500 [2 per cell]

The structure with the greatest stability is version 1.

Version 1
Computed, not measured: crystalline NpNbP2 at its relaxed geometry at the GGA-PBE level of DFT.

The value obtained for the spin magnetization is 10.30 μB/cell. As for the volume: 18.57 Å³/atom.

Cell lengths 3.7502, 3.7502, 18.2909 Å; angles 90.00, 90.00, 120.00 degrees
Space group R-3m (No. 166, hexagonal axes)
Symmetry-distinct sites (fractional):
Np 0.0000 0.0000 0.0000 [3 per cell]
Nb 0.0000 0.0000 0.5000 [3 per cell]
P 0.0000 0.0000 0.2435 [6 per cell]

Version 2
Computed, not measured: crystalline NpNbP2 at its relaxed geometry at the GGA-PBE level of DFT.

The value obtained for the spin magnetization is 12.00 μB/cell. As for the volume: 18.93 Å³/atom.

Cell lengths 3.6106, 3.6106, 20.1208 Å; angles 90.00, 90.00, 120.00 degrees
Space group R3m (No. 160, hexagonal axes)
Symmetry-distinct sites (fractional):
Np 0.0000 0.0000 0.0000 [3 per cell]
Nb 0.0000 0.0000 0.1752 [3 per cell]
P 0.0000 0.0000 0.4310 [3 per cell]
P 0.0000 0.0000 0.5786 [3 per cell]

The structure with the greatest stability is version 1.

Version 1
Computed, not measured: crystalline NpPaNb at its relaxed geometry at the GGA-PBE level of DFT.

The value obtained for the spin magnetization is 4.34 μB/cell. As for the volume: 20.95 Å³/atom.

Cell lengths 3.533, 3.533, 10.067 Å; angles 90.00, 90.00, 90.00 degrees
Space group I4mm (No. 107)
Symmetry-distinct sites (fractional):
Np 0.000 0.000 0.000 [2 per cell]
Pa 0.000 0.000 0.349 [2 per cell]
Nb 0.000 0.000 0.666 [2 per cell]

Version 2
Computed, not measured: crystalline NpPaNb at its relaxed geometry at the GGA-PBE level of DFT.

The value obtained for the spin magnetization is 1.88 μB/cell. As for the volume: 20.48 Å³/atom.

Cell lengths 4.9504, 4.9504, 2.8948 Å; angles 90.00, 90.00, 120.00 degrees
Space group P-6m2 (No. 187)
Symmetry-distinct sites (fractional):
Np 0.0000 0.0000 0.0000 [1 per cell]
Pa 0.3333 0.6667 0.0000 [1 per cell]
Nb 0.6667 0.3333 0.5000 [1 per cell]

The structure with the greatest stability is version 2.

Version 1
Computed, not measured: crystalline NpNb2Pt at its relaxed geometry at the GGA-PBE level of DFT.

The value obtained for the spin magnetization is 2.56 μB/cell. As for the volume: 18.02 Å³/atom.

Cell lengths 4.933, 4.933, 2.963 Å; angles 90.00, 90.00, 90.00 degrees
Space group P4/mmm (No. 123)
Symmetry-distinct sites (fractional):
Np 0.000 0.000 0.000 [1 per cell]
Nb 0.000 0.500 0.500 [2 per cell]
Pt 0.500 0.500 0.000 [1 per cell]

Version 2
Computed, not measured: crystalline NpNb2Pt at its relaxed geometry at the GGA-PBE level of DFT.

The value obtained for the spin magnetization is 2.80 μB/cell. As for the volume: 18.26 Å³/atom.

Cell lengths 3.400, 3.400, 6.318 Å; angles 90.00, 90.00, 90.00 degrees
Space group P4/mmm (No. 123)
Symmetry-distinct sites (fractional):
Np 0.000 0.000 0.000 [1 per cell]
Nb 0.500 0.500 0.250 [2 per cell]
Pt 0.000 0.000 0.500 [1 per cell]

The structure with the greatest stability is version 1.

Version 1
Computed, not measured: crystalline NpNb2Rh at its relaxed geometry at the GGA-PBE level of DFT.

The value obtained for the spin magnetization is 2.84 μB/cell. As for the volume: 17.73 Å³/atom.

Cell lengths 4.867, 4.867, 2.994 Å; angles 90.00, 90.00, 90.00 degrees
Space group P4/mmm (No. 123)
Symmetry-distinct sites (fractional):
Np 0.000 0.000 0.000 [1 per cell]
Nb 0.000 0.500 0.500 [2 per cell]
Rh 0.500 0.500 0.000 [1 per cell]

Version 2
Computed, not measured: crystalline NpNb2Rh at its relaxed geometry at the GGA-PBE level of DFT.

The value obtained for the spin magnetization is 15.13 μB/cell. As for the volume: 17.89 Å³/atom.

Cell lengths 6.591, 6.591, 6.591 Å; angles 90.00, 90.00, 90.00 degrees
Space group Fm-3m (No. 225)
Symmetry-distinct sites (fractional):
Np 0.000 0.000 0.000 [4 per cell]
Nb 0.250 0.250 0.250 [8 per cell]
Rh 0.000 0.000 0.500 [4 per cell]

The structure with the greatest stability is version 1.